Record 1
Density functional theory data (GGA-PBE) for an optimized crystal structure of LaTaIn2.

Summary:
* E_form: 0.13 eV/atom
* E: -5.438 eV per atom
* total magnetic moment: 0.0 μB per cell

Lattice parameters (Å, degrees): 5.429 5.429 6.091 98.59 98.59 34.35
Sites, in units of the cell vectors:
La 0.000 0.000 0.000
Ta 0.500 0.500 0.500
In 0.239 0.239 0.708
In 0.761 0.761 0.292


Record 2
Density functional theory data (GGA-PBE) for an optimized crystal structure of Tl2PW.

Summary:
* E_form: 1.05 eV/atom
* E: -4.723 eV per atom
* total magnetic moment: 0.0 μB per cell

Lattice parameters (Å, degrees): 3.038 3.038 9.400 90.00 90.00 108.50
Sites, in units of the cell vectors:
Tl 0.000 0.000 0.250
Tl 0.000 0.000 0.750
P 0.500 0.500 0.000
W 0.500 0.500 0.500